# MoPdF2 (PBE with a Hubbard U, optimized geometry)
data_MoPdF2
_chemical_formula_sum 'Mo4 Pd4 F8'
_space_group_name_H-M_alt 'I -4 2 d'
_space_group_IT_number 122
_space_group_name_Hall 'I -4 2bw'
_cell_length_a 4.106
_cell_length_b 4.106
_cell_length_c 14.948
_cell_angle_alpha 90.00
_cell_angle_beta 90.00
_cell_angle_gamma 90.00
loop_
_atom_site_label
_atom_site_fract_x
_atom_site_fract_y
_atom_site_fract_z
Mo1 0.000 0.000 0.000
Pd1 0.000 0.000 0.500
F1 0.196 0.250 0.125
# magnetization	15.39	μB per cell
# relative energy among the computed polymorphs	4.6	kJ/mol of atoms